Here is crystalline Ac2Lu at its relaxed geometry from Alexandria via LeMat-Bulk. Energies are from PBE.

Calculated values
* M_tot: 0.00 μB/f.u.
* mass density: 8.8 g/cm3
* DOS at the Fermi energy: 4.49 states/eV/cell
* electronic total energy: -4.17 eV/atom
* calculated volume: 118.4 Å³/cell
* space-group type: C2/m

```
Ac2Lu
1.0
2.7552 -2.7561 0.0000
2.7552 2.7561 0.0000
-2.7434 0.0000 7.7961
Ac Lu
2 1
Cartesian
0.0047 0.0000 2.4722 Ac
2.7623 0.0000 5.3239 Ac
2.7552 0.0000 0.0000 Lu
```


Here is crystalline AcLu2 at its relaxed geometry from Alexandria via LeMat-Bulk. Energies are from PBE.

Calculated values
* M_tot: 0.00 μB/f.u.
* mass density: 9.3 g/cm3
* DOS at the Fermi energy: 3.07 states/eV/cell
* electronic total energy: -4.29 eV/atom
* calculated volume: 103.1 Å³/cell
* space-group type: I4/mmm

```
AcLu2
1.0
-2.0352 2.0352 6.2247
2.0352 -2.0352 6.2247
2.0352 2.0352 -6.2247
Ac Lu
1 2
Cartesian
0.0000 0.0000 0.0000 Ac
0.0000 0.0000 3.9746 Lu
0.0000 0.0000 8.4747 Lu
```


Here is crystalline AcLu2 at its relaxed geometry from Alexandria via LeMat-Bulk. Energies are from PBE.

Calculated values
* M_tot: 3.07 μB/f.u.
* mass density: 8.7 g/cm3
* DOS at the Fermi energy: 7.91 states/eV/cell
* electronic total energy: -4.14 eV/atom
* calculated volume: 221.4 Å³/cell
* space-group type: Fd-3m

```
AcLu2
1.0
0.0000 4.8017 4.8017
4.8017 0.0000 4.8017
4.8017 4.8017 0.0000
Ac Lu
2 4
Cartesian
1.2004 1.2004 1.2004 Ac
8.4030 8.4030 8.4030 Ac
4.8017 2.4008 2.4008 Lu
2.4008 4.8017 2.4008 Lu
2.4008 2.4008 4.8017 Lu
4.8017 4.8017 4.8017 Lu
```


Here is crystalline Ac2Lu at its relaxed geometry from Alexandria via LeMat-Bulk. Energies are from PBE.

Calculated values
* M_tot: 0.00 μB/f.u.
* mass density: 8.3 g/cm3
* DOS at the Fermi energy: 11.44 states/eV/cell
* electronic total energy: -3.81 eV/atom
* calculated volume: 253.0 Å³/cell
* space-group type: Fd-3m

```
Ac2Lu
1.0
0.0000 5.0199 5.0199
5.0199 0.0000 5.0199
5.0199 5.0199 0.0000
Ac Lu
4 2
Cartesian
0.0000 0.0000 0.0000 Ac
2.5099 2.5099 0.0000 Ac
2.5099 0.0000 2.5099 Ac
0.0000 2.5099 2.5099 Ac
3.7649 3.7649 3.7649 Lu
6.2748 6.2748 6.2748 Lu
```


Here is crystalline Ac5Lu at its relaxed geometry from Alexandria via LeMat-Bulk. Energies are from PBE.

Calculated values
* M_tot: 0.00 μB/f.u.
* mass density: 8.6 g/cm3
* DOS at the Fermi energy: 10.50 states/eV/cell
* electronic total energy: -4.13 eV/atom
* calculated volume: 253.1 Å³/cell
* space-group type: Cmmm

```
Ac5Lu
1.0
2.7565 -8.3171 0.0000
2.7565 8.3171 0.0000
0.0000 0.0000 5.5205
Ac Lu
5 1
Cartesian
0.0000 0.0000 0.0000 Ac
2.7565 5.6113 2.7602 Ac
2.7565 2.7279 0.0000 Ac
2.7565 -2.7279 0.0000 Ac
2.7565 -5.6113 2.7602 Ac
2.7565 0.0000 2.7602 Lu
```


Here is crystalline AcLu2Mg at its relaxed geometry from Alexandria via LeMat-Bulk. Energies are from PBE.

Calculated values
* M_tot: 0.00 μB/f.u.
* mass density: 7.8 g/cm3
* DOS at the Fermi energy: 6.47 states/eV/cell
* electronic total energy: -3.60 eV/atom
* calculated volume: 127.5 Å³/cell
* space-group type: P4/mmm

```
AcLu2Mg
1.0
4.9565 0.0000 0.0000
0.0000 4.9565 0.0000
0.0000 0.0000 5.1895
Ac Lu Mg
1 2 1
Cartesian
0.0000 0.0000 0.0000 Ac
0.0000 2.4782 2.5948 Lu
2.4782 0.0000 2.5948 Lu
2.4782 2.4782 0.0000 Mg
```